[1]
The following is a DFT calculation (PBE) of crystalline Zn2Pt3 at its relaxed geometry.

```
data_Zn2Pt3
_space_group_name_H-M_alt 'P 4/m m m'
_space_group_IT_number 123
_space_group_name_Hall '-P 4 2'
_cell_length_a 2.859
_cell_length_b 2.859
_cell_length_c 18.116
_cell_angle_alpha 90.00
_cell_angle_beta 90.00
_cell_angle_gamma 90.00
loop_
_atom_site_label
_atom_site_type_symbol
_atom_site_fract_x
_atom_site_fract_y
_atom_site_fract_z
_atom_site_occupancy
Zn1 Zn 0.000 0.000 0.098 1
Zn2 Zn 0.000 0.000 0.294 1
Pt1 Pt 0.000 0.000 0.500 1
Pt2 Pt 0.500 0.500 0.000 1
Pt3 Pt 0.500 0.500 0.195 1
Pt4 Pt 0.500 0.500 0.389 1
```

Values from the calculation:
Excess energy over the best structure of this formula in the dataset, meV/atom: 0
DFT formation energy, eV per atom: -0.458



[2]
The following is a DFT calculation (PBE) of crystalline La8PmCo2 at its relaxed geometry.

```
data_La8PmCo2
_space_group_name_H-M_alt 'C 1 2/m 1'
_space_group_IT_number 12
_space_group_name_Hall '-C 2y'
_cell_length_a 12.829
_cell_length_b 8.531
_cell_length_c 7.196
_cell_angle_alpha 90.00
_cell_angle_beta 109.12
_cell_angle_gamma 90.00
loop_
_atom_site_label
_atom_site_type_symbol
_atom_site_fract_x
_atom_site_fract_y
_atom_site_fract_z
_atom_site_occupancy
La1 La 0.116 0.198 0.306 1
La2 La 0.130 0.500 0.684 1
La3 La 0.171 0.000 0.817 1
Pm1 Pm 0.000 0.500 0.000 1
Co1 Co 0.201 0.500 0.394 1
```

Values from the calculation:
DFT formation energy, eV per atom: 0.030



[3]
The following is a DFT calculation (PBE) of crystalline ScTlPd2 at its relaxed geometry.

```
data_ScTlPd2
_space_group_name_H-M_alt 'I -4 2 d'
_space_group_IT_number 122
_space_group_name_Hall 'I -4 2bw'
_cell_length_a 7.433
_cell_length_b 7.433
_cell_length_c 5.897
_cell_angle_alpha 90.00
_cell_angle_beta 90.00
_cell_angle_gamma 90.00
loop_
_atom_site_label
_atom_site_type_symbol
_atom_site_fract_x
_atom_site_fract_y
_atom_site_fract_z
_atom_site_occupancy
Sc1 Sc 0.000 0.000 0.000 1
Tl1 Tl 0.000 0.000 0.500 1
Pd1 Pd 0.230 0.250 0.125 1
```

Values from the calculation:
DFT formation energy, eV per atom: -0.289



[4]
The following is a DFT calculation (PBE) of crystalline TaFe2Ni at its relaxed geometry.

```
data_TaFe2Ni
_space_group_name_H-M_alt 'C 1 2/m 1'
_space_group_IT_number 12
_space_group_name_Hall '-C 2y'
_cell_length_a 5.088
_cell_length_b 8.405
_cell_length_c 2.630
_cell_angle_alpha 90.00
_cell_angle_beta 111.69
_cell_angle_gamma 90.00
loop_
_atom_site_label
_atom_site_type_symbol
_atom_site_fract_x
_atom_site_fract_y
_atom_site_fract_z
_atom_site_occupancy
Ta1 Ta 0.000 0.000 0.000 1
Fe1 Fe 0.250 0.250 0.500 1
Ni1 Ni 0.000 0.500 0.000 1
```

Values from the calculation:
DFT formation energy, eV per atom: 0.063



[5]
The following is a DFT calculation (PBE) of crystalline Pu4Ga5Fe2 at its relaxed geometry.

```
data_Pu4Ga5Fe2
_space_group_name_H-M_alt 'P 1 2/m 1'
_space_group_IT_number 10
_space_group_name_Hall '-P 2y'
_cell_length_a 7.136
_cell_length_b 3.104
_cell_length_c 9.658
_cell_angle_alpha 90.00
_cell_angle_beta 92.32
_cell_angle_gamma 90.00
loop_
_atom_site_label
_atom_site_type_symbol
_atom_site_fract_x
_atom_site_fract_y
_atom_site_fract_z
_atom_site_occupancy
Pu1 Pu 0.150 0.000 0.388 1
Pu2 Pu 0.253 0.000 0.957 1
Ga1 Ga 0.210 0.500 0.676 1
Ga2 Ga 0.431 0.500 0.210 1
Ga3 Ga 0.500 0.500 0.500 1
Fe1 Fe 0.055 0.500 0.132 1
```

Values from the calculation:
DFT formation energy, eV per atom: -0.162



[6]
The following is a DFT calculation (PBE) of crystalline CdRhCl2 at its relaxed geometry.

```
data_CdRhCl2
_space_group_name_H-M_alt 'P m m m'
_space_group_IT_number 47
_space_group_name_Hall '-P 2 2'
_cell_length_a 3.266
_cell_length_b 4.158
_cell_length_c 5.682
_cell_angle_alpha 90.00
_cell_angle_beta 90.00
_cell_angle_gamma 90.00
loop_
_atom_site_label
_atom_site_type_symbol
_atom_site_fract_x
_atom_site_fract_y
_atom_site_fract_z
_atom_site_occupancy
Cd1 Cd 0.000 0.000 0.000 1
Rh1 Rh 0.500 0.000 0.500 1
Cl1 Cl 0.000 0.500 0.500 1
Cl2 Cl 0.500 0.500 0.000 1
```

Values from the calculation:
Excess energy over the best structure of this formula in the dataset, meV/atom: 405
ΔE_f (raw), kJ/mol of atoms: 4



[7]
The following is a DFT calculation (PBE) of crystalline PmMnZnGe2 at its relaxed geometry.

```
data_PmMnZnGe2
_space_group_name_H-M_alt 'I -4 m 2'
_space_group_IT_number 119
_space_group_name_Hall 'I -4 -2'
_cell_length_a 4.117
_cell_length_b 4.117
_cell_length_c 10.963
_cell_angle_alpha 90.00
_cell_angle_beta 90.00
_cell_angle_gamma 90.00
loop_
_atom_site_label
_atom_site_type_symbol
_atom_site_fract_x
_atom_site_fract_y
_atom_site_fract_z
_atom_site_occupancy
Pm1 Pm 0.000 0.000 0.000 1
Mn1 Mn 0.000 0.500 0.250 1
Zn1 Zn 0.000 0.500 0.750 1
Ge1 Ge 0.000 0.000 0.383 1
```

Values from the calculation:
DFT formation energy, eV per atom: -0.450



[8]
The following is a DFT calculation (PBE) of crystalline SiSbRh2 at its relaxed geometry.

```
data_SiSbRh2
_space_group_name_H-M_alt 'P 1 2/m 1'
_space_group_IT_number 10
_space_group_name_Hall '-P 2y'
_cell_length_a 4.311
_cell_length_b 3.118
_cell_length_c 5.241
_cell_angle_alpha 90.00
_cell_angle_beta 113.85
_cell_angle_gamma 90.00
loop_
_atom_site_label
_atom_site_type_symbol
_atom_site_fract_x
_atom_site_fract_y
_atom_site_fract_z
_atom_site_occupancy
Si1 Si 0.000 0.000 0.000 1
Sb1 Sb 0.000 0.500 0.500 1
Rh1 Rh 0.500 0.000 0.500 1
Rh2 Rh 0.500 0.500 0.000 1
```

Values from the calculation:
Excess energy over the best structure of this formula in the dataset, meV/atom: 231
ΔE_f (raw), kJ/mol of atoms: -25



[9]
The following is a DFT calculation (PBE) of crystalline Ac2GaPd4Au2 at its relaxed geometry.

```
data_Ac2GaPd4Au2
_space_group_name_H-M_alt 'I 4/m m m'
_space_group_IT_number 139
_space_group_name_Hall '-I 4 2'
_cell_length_a 6.517
_cell_length_b 6.517
_cell_length_c 9.162
_cell_angle_alpha 90.00
_cell_angle_beta 90.00
_cell_angle_gamma 90.00
loop_
_atom_site_label
_atom_site_type_symbol
_atom_site_fract_x
_atom_site_fract_y
_atom_site_fract_z
_atom_site_occupancy
Ac1 Ac 0.000 0.500 0.250 1
Ga1 Ga 0.000 0.000 0.000 1
Pd1 Pd 0.225 0.225 0.500 1
Au1 Au 0.000 0.000 0.284 1
```

Values from the calculation:
DFT formation energy, eV per atom: -0.721



[10]
The following is a DFT calculation (PBE) of crystalline ZnCoAs2 at its relaxed geometry.

```
data_ZnCoAs2
_space_group_name_H-M_alt 'C 1 2/m 1'
_space_group_IT_number 12
_space_group_name_Hall '-C 2y'
_cell_length_a 5.367
_cell_length_b 7.017
_cell_length_c 3.261
_cell_angle_alpha 90.00
_cell_angle_beta 90.13
_cell_angle_gamma 90.00
loop_
_atom_site_label
_atom_site_type_symbol
_atom_site_fract_x
_atom_site_fract_y
_atom_site_fract_z
_atom_site_occupancy
Zn1 Zn 0.000 0.000 0.000 1
Co1 Co 0.000 0.500 0.000 1
As1 As 0.250 0.250 0.500 1
```

Values from the calculation:
DFT formation energy, eV per atom: 0.249



[11]
The following is a DFT calculation (PBE) of crystalline TaCl at its relaxed geometry.

```
data_TaCl
_space_group_name_H-M_alt 'P 63/m'
_space_group_IT_number 176
_space_group_name_Hall '-P 6c'
_cell_length_a 9.6428
_cell_length_b 9.6428
_cell_length_c 2.9977
_cell_angle_alpha 90.00
_cell_angle_beta 90.00
_cell_angle_gamma 120.00
loop_
_atom_site_label
_atom_site_type_symbol
_atom_site_fract_x
_atom_site_fract_y
_atom_site_fract_z
_atom_site_occupancy
Ta1 Ta 0.1510 0.6322 0.2500 1
Cl1 Cl 0.0494 0.3300 0.2500 1
```

Values from the calculation:
ΔE_f (raw), kJ/mol of atoms: -17



[12]
The following is a DFT calculation (PBE) of crystalline ErSbPdRh at its relaxed geometry.

```
data_ErSbPdRh
_space_group_name_H-M_alt 'F -4 3 m'
_space_group_IT_number 216
_space_group_name_Hall 'F -4 2 3'
_cell_length_a 6.704
_cell_length_b 6.704
_cell_length_c 6.704
_cell_angle_alpha 90.00
_cell_angle_beta 90.00
_cell_angle_gamma 90.00
loop_
_atom_site_label
_atom_site_type_symbol
_atom_site_fract_x
_atom_site_fract_y
_atom_site_fract_z
_atom_site_occupancy
Er1 Er 0.000 0.000 0.000 1
Sb1 Sb 0.000 0.000 0.500 1
Pd1 Pd 0.250 0.250 0.750 1
Rh1 Rh 0.250 0.250 0.250 1
```

Values from the calculation:
ΔE_f (raw), kJ/mol of atoms: -76



Q: What is the formula in the first record?
A: Zn2Pt3